# NaPbI2O, relaxed, DFT PBE
# V ... 151 Å³/cell
# Formation energy from raw total energies ... -1.20 eV/f.u.
# E ... -14.29 eV for the cell shown
data_NaPbI2O
_symmetry_space_group_name_H-M 'P 4/m m m'
_symmetry_Int_Tables_number 123
_symmetry_space_group_name_Hall '-P 4 2'
_cell_length_a 5.8992
_cell_length_b 5.8992
_cell_length_c 4.3348
_cell_angle_alpha 90.00
_cell_angle_beta 90.00
_cell_angle_gamma 90.00
loop_
_atom_site_label
_atom_site_fract_x
_atom_site_fract_y
_atom_site_fract_z
_atom_site_occupancy
Na1 0.0000 0.0000 0.0000 1
Pb1 0.5000 0.5000 0.5000 1
I1 0.0000 0.5000 0.0000 1
O1 0.0000 0.0000 0.5000 1